Density functional theory data (PBE) for FeNiS3 after structural relaxation.

Cell: 4.4105 4.4105 4.4105 Å, 90.00 90.00 90.00°
Positions (direct):
Ni 0.5000 0.5000 0.5000
S 0.0000 0.5000 0.0000
S 0.0000 0.0000 0.5000
S 0.5000 0.0000 0.0000
Fe 0.0000 0.0000 0.0000

- Energy relative to the elements, uncorrected: 3.42 eV/f.u.